Below is an optimized crystal structure of ZrIr2Os, with properties calculated at the GGA-PBEsol level.

Output
symmetry = P4/mmm (123)
energy of formation = -0.50 eV per atom
polymorph energy (0 for the lowest one) = 0 meV/atom

Lattice parameters (Å, degrees): 3.947 3.947 3.911 90.00 90.00 90.00
Sites, in units of the cell vectors:
Zr 0.000 0.000 0.000
Ir 0.000 0.500 0.500
Ir 0.500 0.000 0.500
Os 0.500 0.500 0.000


Below is an optimized crystal structure of NiTeMo3, with properties calculated at the GGA-PBEsol level.

Output
symmetry = Pm-3m (221)
E_form (uncorrected) = 2.383 eV/atom

Lattice parameters (Å, degrees): 4.788 4.788 4.788 90.00 90.00 90.00
Sites, in units of the cell vectors:
Ni 0.000 0.000 0.000
Te 0.500 0.500 0.500
Mo 0.000 0.500 0.500
Mo 0.500 0.000 0.500
Mo 0.500 0.500 0.000


Below is an optimized crystal structure of Mg2Ag, with properties calculated at the GGA-PBEsol level.

Output
symmetry = P-3m1 (164)
energy of formation = -0.12 eV per atom

Lattice parameters (Å, degrees): 4.687 4.687 2.986 90.00 90.00 120.00
Sites, in units of the cell vectors:
Mg 0.333 0.667 0.206
Mg 0.667 0.333 0.794
Ag 0.000 0.000 0.500


Below is an optimized crystal structure of BeSbPO2, with properties calculated at the GGA-PBEsol level.

Output
symmetry = P4/mmm (123)
polymorph energy (0 for the lowest one) = 0 meV/atom
E_form (uncorrected) = -0.329 eV/atom

Lattice parameters (Å, degrees): 3.641 3.641 4.435 90.00 90.00 90.00
Sites, in units of the cell vectors:
Be 0.000 0.000 0.000
Sb 0.500 0.500 0.500
P 0.000 0.000 0.500
O 0.000 0.500 0.000
O 0.500 0.000 0.000


Below is an optimized crystal structure of CrCdMo2, with properties calculated at the GGA-PBEsol level.

Output
symmetry = Cmmm (65)
energy of formation = 0.55 eV per atom

Lattice parameters (Å, degrees): 5.044 5.044 2.619 90.00 90.00 114.81
Sites, in units of the cell vectors:
Cr 0.000 0.000 0.000
Cd 0.500 0.500 0.000
Mo 0.000 0.500 0.500
Mo 0.500 0.000 0.500


Below is an optimized crystal structure of TcAs2Se, with properties calculated at the GGA-PBEsol level.

Output
symmetry = R-3m (166)
polymorph energy (0 for the lowest one) = 87 meV/atom
E_form (uncorrected) = 0.025 eV/atom

Lattice parameters (Å, degrees): 8.354 8.354 8.354 21.55 21.55 21.55
Sites, in units of the cell vectors:
Tc 0.000 0.000 0.000
As 0.261 0.261 0.261
As 0.739 0.739 0.739
Se 0.500 0.500 0.500


Below is an optimized crystal structure of NaFe2O4, with properties calculated at the GGA-PBEsol level.

Output
symmetry = P2/m (10)
polymorph energy (0 for the lowest one) = 21 meV/atom
E_form (uncorrected) = -1.424 eV/atom

Lattice parameters (Å, degrees): 4.710 2.836 5.763 90.00 107.02 90.00
Sites, in units of the cell vectors:
Na 0.000 0.000 0.000
Fe 0.000 0.500 0.500
Fe 0.500 0.000 0.500
O 0.226 0.000 0.681
O 0.271 0.500 0.316
O 0.729 0.500 0.684
O 0.774 0.000 0.319


Below is an optimized crystal structure of AlSbMo2, with properties calculated at the GGA-PBEsol level.

Output
symmetry = Cmmm (65)
polymorph energy (0 for the lowest one) = 160 meV/atom
E_form (uncorrected) = 0.360 eV/atom

Lattice parameters (Å, degrees): 2.891 2.891 8.441 90.00 90.00 108.07
Sites, in units of the cell vectors:
Al 0.000 0.000 0.000
Sb 0.000 0.000 0.500
Mo 0.500 0.500 0.241
Mo 0.500 0.500 0.759


Below is an optimized crystal structure of TaCd2NiSe, with properties calculated at the GGA-PBEsol level.

Output
symmetry = P4/mmm (123)
E_form (uncorrected) = 1.369 eV/atom

Lattice parameters (Å, degrees): 5.362 5.362 4.464 90.00 90.00 90.00
Sites, in units of the cell vectors:
Ta 0.000 0.000 0.000
Cd 0.000 0.500 0.000
Cd 0.500 0.000 0.000
Ni 0.000 0.000 0.500
Se 0.500 0.500 0.500


Below is an optimized crystal structure of BeAgS2, with properties calculated at the GGA-PBEsol level.

Output
symmetry = I-42d (122)
E_form (uncorrected) = -0.415 eV/atom

Lattice parameters (Å, degrees): 6.118 6.118 6.118 127.64 127.64 77.22
Sites, in units of the cell vectors:
Be 0.000 0.000 0.000
Be 0.750 0.250 0.500
Ag 0.250 0.750 0.500
Ag 0.500 0.500 0.000
S 0.069 0.625 0.944
S 0.375 0.319 0.444
S 0.681 0.125 0.056
S 0.875 0.931 0.556


Below is an optimized crystal structure of SrMg2Co, with properties calculated at the GGA-PBEsol level.

Output
symmetry = P4/mmm (123)
energy of formation = 0.26 eV per atom

Lattice parameters (Å, degrees): 3.307 3.307 8.109 90.00 90.00 90.00
Sites, in units of the cell vectors:
Sr 0.000 0.000 0.000
Mg 0.500 0.500 0.330
Mg 0.500 0.500 0.670
Co 0.000 0.000 0.500


Below is an optimized crystal structure of Cr3HAu, with properties calculated at the GGA-PBEsol level.

Output
symmetry = Pm-3m (221)
polymorph energy (0 for the lowest one) = 0 meV/atom

Lattice parameters (Å, degrees): 3.727 3.727 3.727 90.00 90.00 90.00
Sites, in units of the cell vectors:
Cr 0.000 0.000 0.500
Cr 0.000 0.500 0.000
Cr 0.500 0.000 0.000
H 0.000 0.000 0.000
Au 0.500 0.500 0.500


Below is an optimized crystal structure of InTeAs2Se, with properties calculated at the GGA-PBEsol level.

Output
symmetry = P4/mmm (123)
E_form (uncorrected) = 0.688 eV/atom

Lattice parameters (Å, degrees): 5.265 5.265 5.357 90.00 90.00 90.00
Sites, in units of the cell vectors:
In 0.000 0.000 0.000
Te 0.500 0.500 0.500
As 0.000 0.500 0.500
As 0.500 0.000 0.500
Se 0.500 0.500 0.000


Below is an optimized crystal structure of SrC3, with properties calculated at the GGA-PBEsol level.

Output
symmetry = Imm2 (44)
energy of formation = 1.24 eV per atom
polymorph energy (0 for the lowest one) = 0 meV/atom

Lattice parameters (Å, degrees): 4.490 4.490 4.490 144.76 95.36 95.16
Sites, in units of the cell vectors:
Sr 0.000 0.000 0.000
C 0.378 0.492 0.886
C 0.606 0.492 0.114
C 0.635 0.135 0.500


Below is an optimized crystal structure of LiMg2Ga2, with properties calculated at the GGA-PBEsol level.

Output
symmetry = P4/mbm (127)
energy of formation = -0.15 eV per atom

Lattice parameters (Å, degrees): 7.648 7.648 3.265 90.00 90.00 90.00
Sites, in units of the cell vectors:
Li 0.000 0.000 0.000
Li 0.500 0.500 0.000
Mg 0.178 0.322 0.500
Mg 0.322 0.822 0.500
Mg 0.678 0.178 0.500
Mg 0.822 0.678 0.500
Ga 0.121 0.621 0.000
Ga 0.379 0.121 0.000
Ga 0.621 0.879 0.000
Ga 0.879 0.379 0.000


Below is an optimized crystal structure of Ba2CaSb, with properties calculated at the GGA-PBEsol level.

Output
symmetry = P4/mmm (123)
E_form (uncorrected) = -0.543 eV/atom

Lattice parameters (Å, degrees): 4.499 4.499 8.088 90.00 90.00 90.00
Sites, in units of the cell vectors:
Ba 0.000 0.000 0.206
Ba 0.000 0.000 0.794
Ca 0.500 0.500 0.500
Sb 0.500 0.500 0.000


Below is an optimized crystal structure of CoIr2Rh, with properties calculated at the GGA-PBEsol level.

Output
symmetry = I-4m2 (119)
energy of formation = 0.00 eV per atom
polymorph energy (0 for the lowest one) = 0 meV/atom

Lattice parameters (Å, degrees): 4.580 4.580 4.580 132.05 132.05 70.15
Sites, in units of the cell vectors:
Co 0.000 0.000 0.000
Ir 0.500 0.500 0.000
Ir 0.750 0.250 0.500
Rh 0.250 0.750 0.500


Below is an optimized crystal structure of TcSbCl2, with properties calculated at the GGA-PBEsol level.

Output
symmetry = Cmmm (65)
polymorph energy (0 for the lowest one) = 254 meV/atom
E_form (uncorrected) = 0.097 eV/atom

Lattice parameters (Å, degrees): 3.160 3.160 10.619 90.00 90.00 124.19
Sites, in units of the cell vectors:
Tc 0.000 0.000 0.000
Sb 0.000 0.000 0.500
Cl 0.500 0.500 0.173
Cl 0.500 0.500 0.827


Below is an optimized crystal structure of SrTa2W, with properties calculated at the GGA-PBEsol level.

Output
symmetry = Cmm2 (35)
energy of formation = 0.66 eV per atom
polymorph energy (0 for the lowest one) = 0 meV/atom

Lattice parameters (Å, degrees): 2.869 2.869 10.191 90.00 90.00 109.04
Sites, in units of the cell vectors:
Sr 0.000 0.000 0.000
Ta 0.000 0.000 0.480
Ta 0.500 0.500 0.703
W 0.500 0.500 0.270


Below is an optimized crystal structure of CaY2Sb, with properties calculated at the GGA-PBEsol level.

Output
symmetry = P4mm (99)
polymorph energy (0 for the lowest one) = 16 meV/atom
E_form (uncorrected) = -0.487 eV/atom

Lattice parameters (Å, degrees): 4.068 4.068 6.980 90.00 90.00 90.00
Sites, in units of the cell vectors:
Ca 0.000 0.000 0.000
Y 0.000 0.000 0.449
Y 0.500 0.500 0.708
Sb 0.500 0.500 0.241


Below is an optimized crystal structure of SrTlAu, with properties calculated at the GGA-PBEsol level.

Output
symmetry = P-6m2 (187)
energy of formation = -0.53 eV per atom

Lattice parameters (Å, degrees): 4.906 4.906 3.829 90.00 90.00 120.00
Sites, in units of the cell vectors:
Sr 0.000 0.000 0.000
Tl 0.667 0.333 0.500
Au 0.333 0.667 0.500


Below is an optimized crystal structure of Na3FeBSO7, with properties calculated at the GGA-PBEsol level.

Output
symmetry = P2_1/m (11)
E_form (uncorrected) = -1.708 eV/atom

Lattice parameters (Å, degrees): 5.197 6.739 8.953 90.00 90.73 90.00
Sites, in units of the cell vectors:
Na 0.238 0.008 0.258
Na 0.238 0.492 0.258
Na 0.251 0.250 0.567
Na 0.749 0.750 0.433
Na 0.762 0.508 0.742
Na 0.762 0.992 0.742
Fe 0.244 0.750 0.835
Fe 0.756 0.250 0.165
B 0.264 0.750 0.562
B 0.736 0.250 0.438
S 0.285 0.250 0.920
S 0.715 0.750 0.080
O 0.028 0.750 0.634
O 0.147 0.250 0.064
O 0.212 0.073 0.829
O 0.212 0.427 0.829
O 0.294 0.750 0.412
O 0.431 0.750 0.050
O 0.475 0.750 0.663
O 0.525 0.250 0.337
O 0.569 0.250 0.950
O 0.706 0.250 0.588
O 0.788 0.573 0.171
O 0.788 0.927 0.171
O 0.853 0.750 0.936
O 0.972 0.250 0.366


Below is an optimized crystal structure of BeZnFe2, with properties calculated at the GGA-PBEsol level.

Output
symmetry = Fm-3m (225)
energy of formation = 0.08 eV per atom
polymorph energy (0 for the lowest one) = 146 meV/atom

Lattice parameters (Å, degrees): 3.896 3.896 3.896 60.00 60.00 60.00
Sites, in units of the cell vectors:
Be 0.000 0.000 0.000
Zn 0.500 0.500 0.500
Fe 0.250 0.250 0.250
Fe 0.750 0.750 0.750


Below is an optimized crystal structure of Zr2ScTaAu, with properties calculated at the GGA-PBEsol level.

Output
symmetry = P4/mmm (123)
energy of formation = 0.86 eV per atom

Lattice parameters (Å, degrees): 5.096 5.096 4.958 90.00 90.00 90.00
Sites, in units of the cell vectors:
Zr 0.000 0.500 0.000
Zr 0.500 0.000 0.000
Sc 0.000 0.000 0.500
Ta 0.500 0.500 0.500
Au 0.500 0.500 0.000


Below is an optimized crystal structure of NdSb12Ru4, with properties calculated at the GGA-PBEsol level.

Output
symmetry = Im-3 (204)
E_form (uncorrected) = -0.341 eV/atom

Lattice parameters (Å, degrees): 8.018 8.018 8.018 109.47 109.47 109.47
Sites, in units of the cell vectors:
Nd 0.000 0.000 0.000
Sb 0.158 0.340 0.498
Sb 0.158 0.660 0.818
Sb 0.182 0.842 0.340
Sb 0.340 0.182 0.842
Sb 0.340 0.498 0.158
Sb 0.498 0.158 0.340
Sb 0.502 0.842 0.660
Sb 0.660 0.502 0.842
Sb 0.660 0.818 0.158
Sb 0.818 0.158 0.660
Sb 0.842 0.340 0.182
Sb 0.842 0.660 0.502
Ru 0.000 0.000 0.500
Ru 0.000 0.500 0.000
Ru 0.500 0.000 0.000
Ru 0.500 0.500 0.500


Below is an optimized crystal structure of CsTlSb2Te, with properties calculated at the GGA-PBEsol level.

Output
symmetry = P4/mmm (123)
E_form (uncorrected) = 1.105 eV/atom

Lattice parameters (Å, degrees): 6.108 6.108 6.238 90.00 90.00 90.00
Sites, in units of the cell vectors:
Cs 0.000 0.000 0.000
Tl 0.500 0.500 0.500
Sb 0.000 0.500 0.000
Sb 0.500 0.000 0.000
Te 0.000 0.000 0.500